(1)
YZnGa3Cu | the Alexandria database | PBE | relaxed; crystal system = orthorhombic; E_form = -0.115 eV per atom; N(E_F) = 3.711 states/eV/cell
1.0
5.7784 0.0000 0.0000
0.0000 5.5168 0.0000
0.0000 -2.7584 7.0345
Y Zn Ga Cu
2 2 6 2
Direct
0.7500 0.3110 0.6220
0.2500 0.6890 0.3780
0.2500 0.3446 0.6892
0.7500 0.6554 0.3108
0.2500 0.1359 0.2717
0.0000 0.2690 0.0000
0.5000 0.7310 0.0000
0.5000 0.2690 0.0000
0.0000 0.7310 0.0000
0.7500 0.8641 0.7283
0.2500 0.8910 0.7820
0.7500 0.1090 0.2180

=====

(2)
YZnGa2Cu4 | the Alexandria database | PBE | relaxed; crystal system = trigonal; E_form = -0.221 eV per atom; N(E_F) = 4.552 states/eV/cell
1.0
4.1769 0.0000 0.0000
2.0885 3.6173 0.0000
2.0885 1.2058 8.3074
Y Zn Ga Cu
1 1 2 4
Direct
0.0000 0.0000 0.0000
0.5000 0.5000 0.5000
0.7532 0.7532 0.7403
0.2468 0.2468 0.2597
0.4028 0.4028 0.7917
0.8672 0.8672 0.3984
0.1328 0.1328 0.6016
0.5972 0.5972 0.2083

=====

(3)
YZnGa2Cu5 | the Alexandria database | PBE | relaxed; crystal system = tetragonal; E_form = 0.052 eV per atom; N(E_F) = 3.151 states/eV/cell
1.0
4.5481 0.0000 0.0000
0.0000 4.5481 0.0000
0.0000 0.0000 7.2084
Y Zn Ga Cu
1 1 2 5
Direct
0.0000 0.0000 0.5000
0.0000 0.0000 0.0000
0.5000 0.5000 0.1657
0.5000 0.5000 0.8343
0.0000 0.5000 0.2675
0.5000 0.0000 0.2675
0.0000 0.5000 0.7325
0.5000 0.0000 0.7325
0.5000 0.5000 0.5000

=====

(4)
Y2ZnGa4Cu3 | the Alexandria database | PBE | relaxed; crystal system = tetragonal; E_form = -0.447 eV per atom; N(E_F) = 4.859 states/eV/cell
1.0
4.1407 0.0000 0.0000
0.0000 4.1407 0.0000
0.0000 0.0000 10.2302
Y Zn Ga Cu
2 1 4 3
Direct
0.5000 0.0000 0.2493
0.0000 0.5000 0.7507
0.5000 0.5000 0.5000
0.5000 0.5000 0.0000
0.0000 0.0000 0.0000
0.5000 0.0000 0.6386
0.0000 0.5000 0.3614
0.0000 0.0000 0.5000
0.5000 0.0000 0.8696
0.0000 0.5000 0.1304

=====

Number 1: size of the total moment 0.00 μB/cell. Number 2: size of the total moment 0.00 μB/cell. Number 3: size of the total moment 0.00 μB/cell. Number 4: size of the total moment 0.00 μB/cell.